VASP calculation (PBE) on a geometry-optimized YZrSb2Ir structure.

Cell lengths 5.239, 5.029, 5.239 Å; angles 90.00, 90.00, 90.00 degrees
Fractional positions:
Y: 0.500 0.500 0.500
Ir: 0.000 0.000 0.000
Sb: 0.500 0.000 0.000
Sb: 0.000 0.000 0.500
Zr: 0.000 0.500 0.000

Calculated values
- E above lowest polymorph (meV per atom) = 0
- DOS(E_F) (states/eV per cell) = 5.90
- formation energy without anion corrections (kJ/mol of formula units) = 63
- final energy (eV per cell) = -31.46